(1)
LaSiNi2 at its PBEsol-relaxed geometry. Source: Alexandria, functional SCAN.

Calculated values
Formation energy from raw total energies: -0.6690 eV per atom
Magnetization: 0.0 μB per formula unit

abc: 3.9725 3.9725 14.8132
angles: 90.00 90.00 120.00
Space group R-3m (No. 166, hexagonal axes)
Asymmetric unit:
La (0.0000, 0.0000, 0.0000) x3
Si (0.0000, 0.0000, 0.5000) x3
Ni (0.0000, 0.0000, 0.1985) x6

---

(2)
Ca2ReTcB at its PBEsol-relaxed geometry. Source: Alexandria, functional SCAN.

Calculated values
Energy of formation from the pure elements: 38.78 kcal/mol of atoms
Magnetization: 0.0 μB per formula unit

abc: 5.514 5.514 4.445
angles: 90.00 90.00 90.00
Space group P4/mmm (No. 123)
Asymmetric unit:
Ca (0.000, 0.500, 0.000) x2
Re (0.000, 0.000, 0.000) x1
Tc (0.000, 0.000, 0.500) x1
B (0.500, 0.500, 0.500) x1

---

(3)
Lu2Mn2O7 at its PBEsol-relaxed geometry. Source: Alexandria, functional SCAN.

Calculated values
Formation energy from raw total energies: -3.0958 eV per atom
Magnetization: 6.1 μB per formula unit

abc: 9.716 9.716 9.716
angles: 90.00 90.00 90.00
Space group Fd-3m (No. 227, origin choice 2)
Asymmetric unit:
Lu (0.000, 0.000, 0.000) x16
Mn (0.000, 0.000, 0.500) x16
O (0.082, 0.375, 0.875) x48
O (0.125, 0.125, 0.125) x8

---

(4)
MgMn2Cl at its PBEsol-relaxed geometry. Source: Alexandria, functional SCAN.

Calculated values
Formation energy from raw total energies: 0.4231 eV per atom
E above lowest polymorph: 0.7457 eV/atom
Magnetization: 7.0 μB per formula unit

abc: 6.387 6.387 6.387
angles: 90.00 90.00 90.00
Space group Fm-3m (No. 225)
Asymmetric unit:
Mg (0.000, 0.000, 0.000) x4
Mn (0.250, 0.250, 0.250) x8
Cl (0.000, 0.000, 0.500) x4

---

(5)
ZrTiCd3 at its PBEsol-relaxed geometry. Source: Alexandria, functional SCAN.

Calculated values
Energy of formation from the pure elements: 19.18 kcal/mol of atoms
Magnetization: 1.8 μB per formula unit

abc: 4.969 4.969 4.969
angles: 90.00 90.00 90.00
Space group Pm-3m (No. 221)
Asymmetric unit:
Zr (0.000, 0.000, 0.000) x1
Ti (0.500, 0.500, 0.500) x1
Cd (0.000, 0.500, 0.500) x3

---

(6)
BaSr3O at its PBEsol-relaxed geometry. Source: Alexandria, functional SCAN.

Calculated values
Formation energy from raw total energies: 1.1170 eV per atom
Magnetization: 6.1 μB per formula unit

abc: 6.649 6.649 6.649
angles: 90.00 90.00 90.00
Space group Pm-3m (No. 221)
Asymmetric unit:
Ba (0.000, 0.000, 0.000) x1
Sr (0.000, 0.000, 0.500) x3
O (0.500, 0.500, 0.500) x1